Record 1
DFT (PBE-GGA) results for an optimized crystal structure of Cs6Na2Au.

Cell and atoms, written as POSCAR:
```
Cs6Na2Au
1.0
8.7025 -5.0260 0.0000
8.7025 5.0260 0.0000
-5.8057 0.0000 8.2082
Cs Na Au
6 2 1
direct
0.2482 0.7512 0.2482
0.2486 0.2486 0.2493
0.2488 0.7518 0.7518
0.7512 0.2482 0.2482
0.7514 0.7514 0.7507
0.7518 0.2488 0.7518
0.2500 0.2500 0.7503
0.7500 0.7500 0.2497
0.0000 0.0000 0.0000
```

Results
* SG: C2/m, No. 12
* calculated volume: 79.8 Å³ per atom

=====

Record 2
DFT (PBE-GGA) results for an optimized crystal structure of Cs12NaAu7.

Cell and atoms, written as POSCAR:
```
Cs12NaAu7
1.0
9.6252 5.5571 3.6158
-9.6252 5.5571 3.6158
0.0000 -11.1143 3.6158
Cs Na Au
12 1 7
direct
0.0936 0.2374 0.6587
0.1150 0.3947 0.3208
0.2374 0.6587 0.0936
0.3208 0.1150 0.3947
0.3413 0.9064 0.7626
0.3947 0.3208 0.1150
0.6053 0.6792 0.8850
0.6587 0.0936 0.2374
0.6792 0.8850 0.6053
0.7626 0.3413 0.9064
0.8850 0.6053 0.6792
0.9064 0.7626 0.3413
0.0000 0.0000 0.0000
0.0214 0.2345 0.9419
0.0581 0.9786 0.7655
0.2345 0.9419 0.0214
0.5000 0.5000 0.5000
0.7655 0.0581 0.9786
0.9419 0.0214 0.2345
0.9786 0.7655 0.0581
```

Results
* SG: R-3, No. 148
* calculated volume: 58.0 Å³ per atom

=====

Record 3
DFT (PBE-GGA) results for an optimized crystal structure of Cs2NaAu.

Cell and atoms, written as POSCAR:
```
Cs2NaAu
1.0
2.4263 1.4008 12.6434
-2.4263 1.4008 12.6434
0.0000 -2.8017 12.6434
Cs Na Au
2 1 1
direct
0.1091 0.1091 0.1091
0.8909 0.8909 0.8909
0.0000 0.0000 0.0000
0.5000 0.5000 0.5000
```

Results
* SG: R-3m, No. 166
* calculated volume: 64.5 Å³ per atom

=====

Record 4
DFT (PBE-GGA) results for an optimized crystal structure of Cs10NaAu3.

Cell and atoms, written as POSCAR:
```
Cs10NaAu3
1.0
0.0000 9.8224 9.8224
9.8224 0.0000 9.8224
9.8224 9.8224 0.0000
Cs Na Au
20 2 6
direct
0.0000 0.0000 0.3300
0.0000 0.0000 0.6700
0.0000 0.3300 0.0000
0.0000 0.3300 0.6700
0.0000 0.6700 0.0000
0.0000 0.6700 0.3300
0.1584 0.6139 0.6139
0.3300 0.0000 0.0000
0.3300 0.0000 0.6700
0.3300 0.6700 0.0000
0.3861 0.3861 0.3861
0.3861 0.3861 0.8416
0.3861 0.8416 0.3861
0.6139 0.1584 0.6139
0.6139 0.6139 0.1584
0.6139 0.6139 0.6139
0.6700 0.0000 0.0000
0.6700 0.0000 0.3300
0.6700 0.3300 0.0000
0.8416 0.3861 0.3861
0.2500 0.2500 0.2500
0.7500 0.7500 0.7500
0.2738 0.2738 0.7262
0.2738 0.7262 0.2738
0.2738 0.7262 0.7262
0.7262 0.2738 0.2738
0.7262 0.2738 0.7262
0.7262 0.7262 0.2738
```

Results
* SG: Fm-3m, No. 225
* calculated volume: 67.7 Å³ per atom

=====

Record 5
DFT (PBE-GGA) results for an optimized crystal structure of Cs7NaAu2.

Cell and atoms, written as POSCAR:
```
Cs7NaAu2
1.0
5.9499 -9.3062 0.0000
5.9499 9.3062 0.0000
0.0000 0.0000 7.0600
Cs Na Au
7 1 2
direct
0.0000 0.0000 0.0000
0.1736 0.4498 0.0000
0.2047 0.7953 0.5000
0.4498 0.1736 0.0000
0.5502 0.8264 0.0000
0.7953 0.2047 0.5000
0.8264 0.5502 0.0000
0.5000 0.5000 0.5000
0.2000 0.8000 0.0000
0.8000 0.2000 0.0000
```

Results
* SG: Cmmm, No. 65
* calculated volume: 78.2 Å³ per atom

=====

Record 6
DFT (PBE-GGA) results for an optimized crystal structure of Cs4Na2Au5.

Cell and atoms, written as POSCAR:
```
Cs4Na2Au5
1.0
-5.3337 11.2914 3.3877
5.3337 -11.2914 3.3877
5.3337 11.2914 -3.3877
Cs Na Au
8 4 10
direct
0.0569 0.7211 0.7780
0.1465 0.1159 0.2624
0.3535 0.6159 0.9693
0.4431 0.2211 0.6642
0.5569 0.7789 0.3358
0.6465 0.3841 0.0307
0.8535 0.8841 0.7376
0.9431 0.2789 0.2220
0.0498 0.7500 0.2998
0.4502 0.7500 0.7002
0.5498 0.2500 0.2998
0.9502 0.2500 0.7002
0.0954 0.4131 0.5085
0.2214 0.8006 0.0220
0.2500 0.2500 0.0000
0.2786 0.3006 0.5792
0.4046 0.9131 0.3176
0.5954 0.0869 0.6824
0.7214 0.6994 0.4208
0.7500 0.7500 0.0000
0.7786 0.1994 0.9780
0.9046 0.5869 0.4915
```

Results
* SG: Ibam, No. 72
* calculated volume: 37.1 Å³ per atom

=====

Record 7
DFT (PBE-GGA) results for an optimized crystal structure of Cs3NaAu.

Cell and atoms, written as POSCAR:
```
Cs3NaAu
1.0
4.9217 0.0000 0.0000
0.0000 10.1639 0.0000
-2.4509 0.0000 13.4270
Cs Na Au
6 2 2
direct
0.0983 0.0026 0.1948
0.0983 0.4974 0.1948
0.2371 0.7500 0.4739
0.7629 0.2500 0.5261
0.9017 0.5026 0.8052
0.9017 0.9974 0.8052
0.4881 0.2500 0.9776
0.5119 0.7500 0.0224
0.3723 0.2500 0.7457
0.6277 0.7500 0.2543
```

Results
* SG: P2_1/m, No. 11
* calculated volume: 67.2 Å³ per atom

=====

Record 8
DFT (PBE-GGA) results for an optimized crystal structure of Cs3NaAu2.

Cell and atoms, written as POSCAR:
```
Cs3NaAu2
1.0
14.1805 0.0000 0.0000
0.0000 5.3351 0.0000
0.0000 0.0000 15.0934
Cs Na Au
12 4 8
direct
0.0593 0.2500 0.1147
0.1310 0.7500 0.5545
0.1858 0.2500 0.7985
0.3142 0.7500 0.2985
0.3690 0.2500 0.0545
0.4407 0.7500 0.6147
0.5593 0.2500 0.3853
0.6310 0.7500 0.9455
0.6858 0.2500 0.7015
0.8142 0.7500 0.2015
0.8690 0.2500 0.4455
0.9407 0.7500 0.8853
0.1268 0.2500 0.3609
0.3732 0.7500 0.8609
0.6268 0.2500 0.1391
0.8732 0.7500 0.6391
0.0386 0.7500 0.3261
0.1913 0.7500 0.9731
0.3087 0.2500 0.4731
0.4614 0.2500 0.8261
0.5386 0.7500 0.1739
0.6913 0.7500 0.5269
0.8087 0.2500 0.0269
0.9614 0.2500 0.6739
```

Results
* SG: Pnma, No. 62
* calculated volume: 47.6 Å³ per atom

=====

Number 1: calculated formation energy -0.55 eV/f.u.. Number 2: calculated formation energy -4.63 eV/f.u.. Number 3: calculated formation energy -0.31 eV/f.u.. Number 4: calculated formation energy -1.76 eV/f.u.. Number 5: calculated formation energy -0.94 eV/f.u.. Number 6: calculated formation energy -2.67 eV/f.u.. Number 7: calculated formation energy -0.66 eV/f.u.. Number 8: calculated formation energy -1.29 eV/f.u..